No. 1
This record from the Open Quantum Materials Database describes an optimized crystal structure of LiLuInAu. The functional is PBE.

a b c (Å): 4.787 4.787 4.787
angles (deg): 60.00 60.00 60.00
Fractional positions:
Au1 0.750 0.750 0.750
In1 0.000 0.000 0.000
Li1 0.250 0.250 0.250
Lu1 0.500 0.500 0.500

## Properties
The density comes out at 10.6 g/cm3. The calculation puts the energy above the most stable polymorph in this dataset at 0.00 eV/f.u. As for the space group: No. 216.

=====

No. 2
This record from the Open Quantum Materials Database describes an optimized crystal structure of LiLuInAu. The functional is PBE.

a b c (Å): 4.886 4.886 4.886
angles (deg): 60.00 60.00 60.00
Fractional positions:
Au1 0.750 0.750 0.750
In1 0.250 0.250 0.250
Li1 0.000 0.000 0.000
Lu1 0.500 0.500 0.500

## Properties
The density comes out at 9.9 g/cm3. The calculation puts the energy above the most stable polymorph in this dataset at 0.41 eV/f.u. As for the space group: No. 216.